[1]
Below is TiNbPS2 after structural relaxation, with properties calculated at the PBE-GGA level.

a b c (Å): 4.7370 4.7370 4.8748
angles (deg): 90.00 90.00 90.00
Last column: nearest neighbours and their distance in Å.
Space group P4/mmm (No. 123)
Inequivalent atoms, fractional coordinates:
Ti: 0.0000 0.0000 0.0000 (multiplicity 1)  4 P 3.35, 8 S 3.40
Nb: 0.5000 0.5000 0.5000 (multiplicity 1)  4 S 2.37, 2 P 2.44
P: 0.5000 0.5000 0.0000 (multiplicity 1)  2 Nb 2.44
S: 0.0000 0.5000 0.5000 (multiplicity 2)  2 Nb 2.37

The value obtained for the calculated volume is 109.4 Å³ per cell. The calculation puts the formation energy (no corrections) at 1.196 kcal/mol of atoms. Its density of states at the Fermi level is 4.2 states/eV/cell. The value obtained for the energy above the most stable polymorph in this dataset is 0.000 eV per atom.

***

[2]
Below is NbTlP2S after structural relaxation, with properties calculated at the PBE-GGA level.

a b c (Å): 4.9627 4.9627 5.0224
angles (deg): 90.00 90.00 90.00
Last column: nearest neighbours and their distance in Å.
Space group P4/mmm (No. 123)
Inequivalent atoms, fractional coordinates:
Nb: 0.0000 0.0000 0.0000 (multiplicity 1)  4 S 3.51, 8 P 3.53
Tl: 0.5000 0.5000 0.5000 (multiplicity 1)  4 P 2.48, 2 S 2.51
P: 0.0000 0.5000 0.5000 (multiplicity 2)  2 Tl 2.48
S: 0.5000 0.5000 0.0000 (multiplicity 1)  2 Tl 2.51

The value obtained for the calculated volume is 123.7 Å³ per cell. The calculation puts the formation energy (no corrections) at 35.315 kcal/mol of atoms. Its density of states at the Fermi level is 7.5 states/eV/cell. The value obtained for the energy above the most stable polymorph in this dataset is 1.538 eV per atom.

***

[3]
Below is NbTlPS2 after structural relaxation, with properties calculated at the PBE-GGA level.

a b c (Å): 4.8626 4.8626 4.9652
angles (deg): 90.00 90.00 90.00
Last column: nearest neighbours and their distance in Å.
Space group P4/mmm (No. 123)
Inequivalent atoms, fractional coordinates:
Nb: 0.0000 0.0000 0.0000 (multiplicity 1)  4 S 2.43, 2 P 2.48
Tl: 0.5000 0.5000 0.5000 (multiplicity 1)  4 P 3.44, 8 S 3.47
P: 0.0000 0.0000 0.5000 (multiplicity 1)  2 Nb 2.48
S: 0.0000 0.5000 0.0000 (multiplicity 2)  2 Nb 2.43

The value obtained for the calculated volume is 117.4 Å³ per cell. The calculation puts the formation energy (no corrections) at -6.358 kcal/mol of atoms. Its density of states at the Fermi level is 2.6 states/eV/cell. The value obtained for the energy above the most stable polymorph in this dataset is 0.000 eV per atom.

***

[4]
Below is NbTlP2S after structural relaxation, with properties calculated at the PBE-GGA level.

a b c (Å): 4.9332 4.9332 4.8309
angles (deg): 90.00 90.00 90.00
Last column: nearest neighbours and their distance in Å.
Space group P4/mmm (No. 123)
Inequivalent atoms, fractional coordinates:
Nb: 0.0000 0.0000 0.0000 (multiplicity 1)  2 S 2.42, 4 P 2.47
Tl: 0.5000 0.5000 0.5000 (multiplicity 1)  8 P 3.45, 4 S 3.49
P: 0.0000 0.5000 0.0000 (multiplicity 2)  2 Nb 2.47
S: 0.0000 0.0000 0.5000 (multiplicity 1)  2 Nb 2.42

The value obtained for the calculated volume is 117.6 Å³ per cell. The calculation puts the formation energy (no corrections) at -0.159 kcal/mol of atoms. Its density of states at the Fermi level is 3.9 states/eV/cell. The value obtained for the energy above the most stable polymorph in this dataset is 0.000 eV per atom.

***

[5]
Below is NbTlPS2 after structural relaxation, with properties calculated at the PBE-GGA level.

a b c (Å): 5.0088 5.0088 4.9854
angles (deg): 90.00 90.00 90.00
Last column: nearest neighbours and their distance in Å.
Space group P4/mmm (No. 123)
Inequivalent atoms, fractional coordinates:
Nb: 0.0000 0.0000 0.0000 (multiplicity 1)  8 S 3.53, 4 P 3.54
Tl: 0.5000 0.5000 0.5000 (multiplicity 1)  2 P 2.49, 4 S 2.50
P: 0.5000 0.5000 0.0000 (multiplicity 1)  2 Tl 2.49
S: 0.0000 0.5000 0.5000 (multiplicity 2)  2 Tl 2.50

The value obtained for the calculated volume is 125.1 Å³ per cell. The calculation puts the formation energy (no corrections) at 30.063 kcal/mol of atoms. Its density of states at the Fermi level is 6.0 states/eV/cell. The value obtained for the energy above the most stable polymorph in this dataset is 1.579 eV per atom.

***

[6]
Below is NbTlP2S8 after structural relaxation, with properties calculated at the PBE-GGA level.

a b c (Å): 6.0346 6.0346 28.1164
angles (deg): 90.00 90.00 120.00
Last column: nearest neighbours and their distance in Å.
Space group R-3 (No. 148, hexagonal axes)
Inequivalent atoms, fractional coordinates:
Nb: 0.0000 0.0000 0.0000 (multiplicity 3)  6 S 2.46
Tl: 0.0000 0.0000 0.5000 (multiplicity 3)  12 S 3.55-3.86
P: 0.0000 0.0000 0.2608 (multiplicity 6)  4 S 1.97-2.10
S: 0.0000 0.0000 0.1906 (multiplicity 6)  1 P 1.97
S: 0.0007 0.6617 0.9510 (multiplicity 18)  1 P 2.10

The value obtained for the calculated volume is 886.7 Å³ per cell. The calculation puts the formation energy (no corrections) at -7.594 kcal/mol of atoms.

***

[7]
Below is NbVPS2 after structural relaxation, with properties calculated at the PBE-GGA level.

a b c (Å): 4.7144 4.7144 4.9155
angles (deg): 90.00 90.00 90.00
Last column: nearest neighbours and their distance in Å.
Space group P4/mmm (No. 123)
Inequivalent atoms, fractional coordinates:
Nb: 0.0000 0.0000 0.0000 (multiplicity 1)  4 S 2.36, 2 P 2.46
V: 0.5000 0.5000 0.5000 (multiplicity 1)  4 P 3.33, 8 S 3.41
P: 0.0000 0.0000 0.5000 (multiplicity 1)  2 Nb 2.46
S: 0.0000 0.5000 0.0000 (multiplicity 2)  2 Nb 2.36

The value obtained for the calculated volume is 109.2 Å³ per cell. The calculation puts the formation energy (no corrections) at 11.390 kcal/mol of atoms. Its density of states at the Fermi level is 7.4 states/eV/cell. The value obtained for the energy above the most stable polymorph in this dataset is 0.218 eV per atom.

***

[8]
Below is NbVP2S after structural relaxation, with properties calculated at the PBE-GGA level.

a b c (Å): 4.8178 4.8178 4.6864
angles (deg): 90.00 90.00 90.00
Last column: nearest neighbours and their distance in Å.
Space group P4/mmm (No. 123)
Inequivalent atoms, fractional coordinates:
Nb: 0.0000 0.0000 0.0000 (multiplicity 1)  2 S 2.34, 4 P 2.41
V: 0.5000 0.5000 0.5000 (multiplicity 1)  8 P 3.36, 4 S 3.41
P: 0.0000 0.5000 0.0000 (multiplicity 2)  2 Nb 2.41
S: 0.0000 0.0000 0.5000 (multiplicity 1)  2 Nb 2.34

The value obtained for the calculated volume is 108.8 Å³ per cell. The calculation puts the formation energy (no corrections) at 16.080 kcal/mol of atoms. Its density of states at the Fermi level is 8.0 states/eV/cell. The value obtained for the energy above the most stable polymorph in this dataset is 0.283 eV per atom.

***

[9]
Below is NbVP2S after structural relaxation, with properties calculated at the PBE-GGA level.

a b c (Å): 4.5072 4.5072 4.4882
angles (deg): 90.00 90.00 90.00
Last column: nearest neighbours and their distance in Å.
Space group P4/mmm (No. 123)
Inequivalent atoms, fractional coordinates:
Nb: 0.0000 0.0000 0.0000 (multiplicity 1)  8 P 3.18, 4 S 3.19
V: 0.5000 0.5000 0.5000 (multiplicity 1)  2 S 2.24, 4 P 2.25
P: 0.0000 0.5000 0.5000 (multiplicity 2)  2 V 2.25
S: 0.5000 0.5000 0.0000 (multiplicity 1)  2 V 2.24

The value obtained for the calculated volume is 91.2 Å³ per cell. The calculation puts the formation energy (no corrections) at 9.556 kcal/mol of atoms. Its density of states at the Fermi level is 3.8 states/eV/cell. The value obtained for the energy above the most stable polymorph in this dataset is 0.000 eV per atom.

***

[10]
Below is NbVPS2 after structural relaxation, with properties calculated at the PBE-GGA level.

a b c (Å): 4.4713 4.4713 4.6277
angles (deg): 90.00 90.00 90.00
Last column: nearest neighbours and their distance in Å.
Space group P4/mmm (No. 123)
Inequivalent atoms, fractional coordinates:
Nb: 0.0000 0.0000 0.0000 (multiplicity 1)  4 P 3.16, 8 S 3.22
V: 0.5000 0.5000 0.5000 (multiplicity 1)  4 S 2.24, 2 P 2.31
P: 0.5000 0.5000 0.0000 (multiplicity 1)  2 V 2.31
S: 0.0000 0.5000 0.5000 (multiplicity 2)  2 V 2.24

The value obtained for the calculated volume is 92.5 Å³ per cell. The calculation puts the formation energy (no corrections) at 6.352 kcal/mol of atoms. Its density of states at the Fermi level is 5.2 states/eV/cell. The value obtained for the energy above the most stable polymorph in this dataset is 0.000 eV per atom.

***

[11]
Below is Nb2PWS after structural relaxation, with properties calculated at the PBE-GGA level.

a b c (Å): 4.6035 4.6035 4.2715
angles (deg): 90.00 90.00 90.00
Last column: nearest neighbours and their distance in Å.
Space group P4/mmm (No. 123)
Inequivalent atoms, fractional coordinates:
Nb: 0.0000 0.5000 0.0000 (multiplicity 2)  2 S 2.30
P: 0.0000 0.0000 0.5000 (multiplicity 1)  2 S 2.14
W: 0.5000 0.5000 0.5000 (multiplicity 1)  8 Nb 3.14, 4 P 3.26
S: 0.0000 0.0000 0.0000 (multiplicity 1)  2 P 2.14, 4 Nb 2.30

The value obtained for the calculated volume is 90.5 Å³ per cell. The calculation puts the formation energy (no corrections) at 21.323 kcal/mol of atoms. Its density of states at the Fermi level is 7.1 states/eV/cell.

***

[12]
Below is YNbP2S after structural relaxation, with properties calculated at the PBE-GGA level.

a b c (Å): 5.1002 5.1002 4.9852
angles (deg): 90.00 90.00 90.00
Last column: nearest neighbours and their distance in Å.
Space group P4/mmm (No. 123)
Inequivalent atoms, fractional coordinates:
Y: 0.0000 0.0000 0.0000 (multiplicity 1)  2 S 2.49, 4 P 2.55
Nb: 0.5000 0.5000 0.5000 (multiplicity 1)  8 P 3.57, 4 S 3.61
P: 0.0000 0.5000 0.0000 (multiplicity 2)  2 Y 2.55
S: 0.0000 0.0000 0.5000 (multiplicity 1)  2 Y 2.49

The value obtained for the calculated volume is 129.7 Å³ per cell. The calculation puts the formation energy (no corrections) at 20.206 kcal/mol of atoms. Its density of states at the Fermi level is 9.1 states/eV/cell. The value obtained for the energy above the most stable polymorph in this dataset is 1.367 eV per atom.